[1]
A plane-wave DFT calculation with PBE was carried out for an optimized crystal structure of Mn2CoMo.

The calculated formation energy is 0.640 eV per atom. For the total magnetization, the calculation gives 1.11 μB per atom. The theoretical density comes out at 8.287 g cm⁻³.

The space group is Immm (No. 71) and the conventional cell measures 2.582, 4.364 and 9.417 Å, with angles of 90.00, 90.00 and 90.00 degrees. The distinct sites, in fractional coordinates, are Mn at (0.000, 0.000, 0.239), Co at (0.000, 0.000, 0.000) and Mo at (0.000, 0.000, 0.500).

=====

[2]
A plane-wave DFT calculation with PBE was carried out for an optimized crystal structure of YMgInCl6.

The value obtained for the formation energy (no corrections) is -1587 kJ/mol of formula units. For the total magnetization, the calculation gives 0.00 μB per atom. The theoretical density comes out at 2.613 g cm⁻³.

The space group is P-31c (No. 163) and the conventional cell measures 6.7891, 6.7891 and 14.0355 Å, with angles of 90.00, 90.00 and 120.00 degrees. The distinct sites, in fractional coordinates, are Y at (0.3333, 0.6667, 0.2500), Mg at (0.3333, 0.6667, 0.7500), In at (0.0000, 0.0000, 0.0000) and Cl at (0.0135, 0.3795, 0.6451).

=====

[3]
A plane-wave DFT calculation with PBE was carried out for an optimized crystal structure of PuAgAu4.

The excess energy over the best structure of this formula in the dataset comes out at 23 meV per atom. The calculated formation energy is -0.208 eV per atom. For the total magnetization, the calculation gives 0.91 μB per atom. The theoretical density comes out at 15.176 g cm⁻³.

The space group is P6/mmm (No. 191) and the conventional cell measures 4.7532, 4.7532 and 6.3739 Å, with angles of 90.00, 90.00 and 120.00 degrees. The distinct sites, in fractional coordinates, are Pu at (0.0000, 0.0000, 0.0000), Ag at (0.0000, 0.0000, 0.5000) and Au at (0.3333, 0.6667, 0.2688).

=====

[4]
A plane-wave DFT calculation with PBE was carried out for an optimized crystal structure of SnBiTe2I.

The excess energy over the best structure of this formula in the dataset comes out at 0 meV per atom. The value obtained for the formation energy (no corrections) is 160 kJ/mol of formula units. For the total magnetization, the calculation gives 0.00 μB per atom. The theoretical density comes out at 5.545 g cm⁻³.

The space group is P4/mmm (No. 123) and the conventional cell measures 6.001, 6.001 and 5.902 Å, with angles of 90.00, 90.00 and 90.00 degrees. The distinct sites, in fractional coordinates, are Sn at (0.000, 0.000, 0.000), Bi at (0.500, 0.500, 0.500), Te at (0.000, 0.500, 0.500) and I at (0.500, 0.500, 0.000).